<one>
The following is a GGA-PBE calculation of crystalline GaHSe3 at its relaxed geometry, from Alexandria.

POSCAR file:
```
GaHSe3
1.0
-2.9242 -1.8596 2.7905
0.5217 -3.9097 -2.0587
3.3125 -1.0258 2.7876
H Ga Se
1 1 3
direct
0.0000 0.0000 0.0000
0.5000 0.5000 0.5000
0.0000 0.5000 0.0000
0.0000 0.0000 0.5000
0.5000 0.0000 0.0000
```

Values from the calculation:
Space-group type: Pm-3m (221)
Calculated volume, A^3/atom: 17.6

=====

<two>
The following is a GGA-PBE calculation of crystalline GaHSe3 at its relaxed geometry, from Alexandria.

POSCAR file:
```
GaHSe3
1.0
5.0351 0.0000 0.0000
0.0000 5.0351 0.0000
0.0000 0.0000 5.0351
H Ga Se
1 1 3
direct
0.5000 0.5000 0.5000
0.0000 0.0000 0.0000
0.0000 0.5000 0.0000
0.0000 0.0000 0.5000
0.5000 0.0000 0.0000
```

Values from the calculation:
Space-group type: Pm-3m (221)
Calculated volume, A^3/atom: 25.5

=====

Which one sits at the top of the stability order? <one> does.

=====

<one>
The following is a GGA-PBE calculation of crystalline Ga3SiH at its relaxed geometry, from Alexandria.

POSCAR file:
```
Ga3SiH
1.0
-2.9277 1.3338 -2.7853
-2.2346 -3.5640 0.6421
-2.1315 1.9044 3.1525
H Si Ga
1 1 3
direct
0.0000 0.0000 0.0000
0.5000 0.5000 0.5000
0.0000 0.5000 0.0000
0.0000 0.0000 0.5000
0.5000 0.0000 0.0000
```

Values from the calculation:
Space-group type: Pm-3m (221)
Calculated volume, A^3/atom: 15.4

=====

<two>
The following is a GGA-PBE calculation of crystalline Ga3SiH at its relaxed geometry, from Alexandria.

POSCAR file:
```
Ga3SiH
1.0
4.8610 0.0000 0.0000
0.0000 4.8610 0.0000
0.0000 0.0000 4.8610
H Si Ga
1 1 3
direct
0.5000 0.5000 0.5000
0.0000 0.0000 0.0000
0.0000 0.5000 0.0000
0.0000 0.0000 0.5000
0.5000 0.0000 0.0000
```

Values from the calculation:
Space-group type: Pm-3m (221)
Calculated volume, A^3/atom: 23.0

=====

Which one sits at the top of the stability order? <one> does.